Record 1
Here is a relaxed SrUIn2Se4 crystal from Alexandria. Energies are from PBE-GGA.

Properties
- Total DFT energy (no corrections): -40.61 eV for the cell shown
- D(E_F): 0.506 states/eV per atom

Unit cell a=4.2917 b=8.0503 c=7.4850 alpha=72.19 beta=90.00 gamma=90.00
Last column: magnetic moment on the atom in μB.
Fractional positions:
1 Sr 0.5000 0.5000 0.0000  0.00
2 U 0.0000 0.5000 0.5000  2.13
3 In 0.0000 0.0000 0.0000  -0.01
4 In 0.5000 0.0000 0.5000  -0.01
5 Se 0.0000 0.7167 0.7310  -0.04
6 Se 0.0000 0.2833 0.2690  -0.04
7 Se 0.5000 0.7109 0.2862  -0.05
8 Se 0.5000 0.2891 0.7138  -0.05

Record 2
Here is a relaxed SrYIn2Se4 crystal from Alexandria. Energies are from PBE-GGA.

Properties
- Total DFT energy (no corrections): -37.24 eV for the cell shown
- D(E_F): 0.460 states/eV per atom

Unit cell a=4.2424 b=7.5932 c=7.6059 alpha=71.80 beta=90.00 gamma=90.00
Fractional positions:
1 Sr 0.5000 0.5000 0.0000
2 Y 0.0000 0.5000 0.5000
3 In 0.0000 0.0000 0.0000
4 In 0.5000 0.0000 0.5000
5 Se 0.0000 0.7407 0.7267
6 Se 0.0000 0.2593 0.2733
7 Se 0.5000 0.7263 0.2825
8 Se 0.5000 0.2737 0.7175

Record 3
Here is a relaxed TaInSe2 crystal from Alexandria. Energies are from PBE-GGA.

Properties
- Total DFT energy (no corrections): -21.07 eV for the cell shown
- D(E_F): 0.802 states/eV per atom

Unit cell a=3.9668 b=3.9668 c=5.5686 alpha=90.00 beta=90.00 gamma=90.00
Last column: magnetic moment on the atom in μB.
Fractional positions:
1 In 0.0000 0.0000 0.5000  -0.03
2 Se 0.5000 0.5000 0.5000  -0.02
3 Se 0.0000 0.0000 0.0000  0.00
4 Ta 0.5000 0.5000 0.0000  0.70

Record 4
Here is a relaxed Ta2InSe crystal from Alexandria. Energies are from PBE-GGA.

Properties
- Total DFT energy (no corrections): -28.84 eV for the cell shown
- D(E_F): 0.417 states/eV per atom
- E above lowest polymorph: 1.46 eV/f.u.

Unit cell a=4.8602 b=4.8602 c=3.1422 alpha=90.00 beta=90.00 gamma=90.01
Fractional positions:
1 In 0.5000 0.0000 0.5000
2 Se 0.0000 0.5000 0.5000
3 Ta 0.0000 0.0000 0.0000
4 Ta 0.5000 0.5000 0.0000

Record 5
Here is a relaxed TaInSe2 crystal from Alexandria. Energies are from PBE-GGA.

Properties
- Total DFT energy (no corrections): -20.37 eV for the cell shown
- D(E_F): 0.770 states/eV per atom

Unit cell a=3.5911 b=5.7760 c=4.0849 alpha=90.00 beta=90.00 gamma=90.00
Fractional positions:
1 In 0.0000 0.5000 0.5000
2 Se 0.0000 0.0000 0.0000
3 Se 0.5000 0.5000 0.0000
4 Ta 0.5000 0.0000 0.5000

Record 6
Here is a relaxed TaInSe2 crystal from Alexandria. Energies are from PBE-GGA.

Properties
- Total DFT energy (no corrections): -186.69 eV for the cell shown
- D(E_F): 0.083 states/eV per atom

Unit cell a=17.7572 b=7.7489 c=7.7489 alpha=91.22 beta=110.76 gamma=69.24
Fractional positions:
1 In 0.4200 0.5007 0.1317
2 In 0.0800 0.6318 0.0007
3 In 0.5800 0.4993 0.8682
4 In 0.9200 0.3683 0.9993
5 In 0.3680 0.9767 0.1766
6 In 0.1320 0.6766 0.4767
7 In 0.6320 0.0233 0.8234
8 In 0.8680 0.3234 0.5233
9 Se 0.9518 0.7438 0.5768
10 Se 0.5482 0.0768 0.2438
11 Se 0.0482 0.2562 0.4232
12 Se 0.4518 0.9232 0.7562
13 Se 0.7749 0.1719 0.1608
14 Se 0.7251 0.6608 0.6719
15 Se 0.2251 0.8281 0.8392
16 Se 0.2749 0.3392 0.3281
17 Se 0.6010 0.5171 0.2643
18 Se 0.8990 0.7643 0.0171
19 Se 0.3990 0.4829 0.7357
20 Se 0.1010 0.2357 0.9829
21 Se 0.7500 0.1833 0.6833
22 Se 0.2500 0.8167 0.3167
23 Se 0.7500 0.6175 0.1175
24 Se 0.2500 0.3825 0.8825
25 Ta 0.1878 0.1532 0.3597
26 Ta 0.3122 0.8597 0.6532
27 Ta 0.8122 0.8468 0.6403
28 Ta 0.6878 0.1403 0.3468
29 Ta 0.3228 0.2264 0.6652
30 Ta 0.1772 0.1652 0.7264
31 Ta 0.6772 0.7736 0.3348
32 Ta 0.8228 0.8348 0.2736

Record 7
Here is a relaxed TaIn2Se crystal from Alexandria. Energies are from PBE-GGA.

Properties
- Total DFT energy (no corrections): -19.81 eV for the cell shown
- D(E_F): 1.058 states/eV per atom

Unit cell a=5.3847 b=5.3847 c=3.0635 alpha=90.00 beta=90.00 gamma=108.40
Fractional positions:
1 In 0.0000 0.0000 0.0000
2 In 0.5000 0.5000 0.0000
3 Se 0.5000 0.0000 0.5000
4 Ta 0.0000 0.5000 0.5000

Record 8
Here is a relaxed TaIn2Se crystal from Alexandria. Energies are from PBE-GGA.

Properties
- Total DFT energy (no corrections): -20.73 eV for the cell shown
- D(E_F): 0.607 states/eV per atom

Unit cell a=6.8781 b=6.8781 c=6.8781 alpha=153.33 beta=137.79 gamma=50.63
Fractional positions:
1 In 0.0607 0.0607 0.0000
2 In 0.7365 0.2365 0.5000
3 Se 0.4311 0.4311 0.0000
4 Ta 0.2717 0.7717 0.5000

Record 9
Here is a relaxed Ta2InSe crystal from Alexandria. Energies are from PBE-GGA.

Properties
- Total DFT energy (no corrections): -29.67 eV for the cell shown
- D(E_F): 0.489 states/eV per atom
- E above lowest polymorph: 0.63 eV/f.u.

Unit cell a=9.0969 b=9.0969 c=9.0969 alpha=19.78 beta=19.78 gamma=19.78
Fractional positions:
1 In 0.2500 0.2500 0.2500
2 Se 0.7500 0.7500 0.7500
3 Ta 0.0083 0.0083 0.0083
4 Ta 0.4917 0.4917 0.4917

Record 10
Here is a relaxed TaInSe2 crystal from Alexandria. Energies are from PBE-GGA.

Properties
- Total DFT energy (no corrections): -23.27 eV for the cell shown
- D(E_F): 0.456 states/eV per atom

Unit cell a=3.2392 b=3.2392 c=8.2633 alpha=90.00 beta=90.00 gamma=90.00
Fractional positions:
1 In 0.5000 0.5000 0.7500
2 Se 0.0000 0.0000 0.0650
3 Se 0.0000 0.0000 0.4350
4 Ta 0.5000 0.5000 0.2500

Record 11
Here is a relaxed TaInSe2 crystal from Alexandria. Energies are from PBE-GGA.

Properties
- Total DFT energy (no corrections): -44.57 eV for the cell shown
- D(E_F): 0.515 states/eV per atom

Unit cell a=8.7145 b=8.7145 c=6.8219 alpha=50.30 beta=50.30 gamma=90.00
Fractional positions:
1 In 0.5000 0.5000 0.0000
2 In 0.2500 0.7500 0.5000
3 Se 0.7564 0.1250 0.2500
4 Se 0.9936 0.6250 0.2500
5 Se 0.3750 0.2436 0.7500
6 Se 0.8750 0.0064 0.7500
7 Ta 0.0000 0.0000 0.0000
8 Ta 0.7500 0.2500 0.5000

Record 12
Here is a relaxed TaInSe2 crystal from Alexandria. Energies are from PBE-GGA.

Properties
- Total DFT energy (no corrections): -22.21 eV for the cell shown
- D(E_F): 1.194 states/eV per atom

Unit cell a=3.6268 b=3.6268 c=9.0292 alpha=90.00 beta=90.00 gamma=120.00
Fractional positions:
1 In 0.0000 0.0000 0.9523
2 Se 0.3333 0.6667 0.7343
3 Se 0.6667 0.3333 0.3024
4 Ta 0.3333 0.6667 0.4660

Record 13
Here is a relaxed TaInSe2 crystal from Alexandria. Energies are from PBE-GGA.

Properties
- Total DFT energy (no corrections): -24.10 eV for the cell shown
- D(E_F): 0.397 states/eV per atom

Unit cell a=3.4800 b=3.4804 c=8.7391 alpha=90.00 beta=90.02 gamma=60.00
Fractional positions:
1 Ta 0.6992 0.3102 0.1887
2 Se 0.0324 0.6436 0.9967
3 Se 0.0327 0.6435 0.3806
4 In 0.7011 0.3099 0.6887

Record 14
Here is a relaxed TaInSe2 crystal from Alexandria. Energies are from PBE-GGA.

Properties
- Total DFT energy (no corrections): -46.08 eV for the cell shown
- D(E_F): 0.213 states/eV per atom

Unit cell a=13.5301 b=7.3562 c=7.3562 alpha=60.55 beta=117.42 gamma=62.58
Fractional positions:
1 In 0.2284 0.7157 0.7284
2 In 0.7284 0.7716 0.7843
3 Se 0.4094 0.8306 0.8358
4 Se 0.9094 0.6642 0.6694
5 Se 0.0895 0.8958 0.9145
6 Se 0.5895 0.5855 0.6042
7 Ta 0.2899 0.2434 0.2557
8 Ta 0.7899 0.2443 0.2566

Record 15
Here is a relaxed Ta2InSe crystal from Alexandria. Energies are from PBE-GGA.

Properties
- Total DFT energy (no corrections): -28.99 eV for the cell shown
- D(E_F): 0.770 states/eV per atom
- E above lowest polymorph: 1.31 eV/f.u.

Unit cell a=5.0452 b=5.0452 c=4.9228 alpha=84.27 beta=84.27 gamma=38.05
Fractional positions:
1 In 0.2500 0.2500 0.2500
2 Se 0.7500 0.7500 0.7500
3 Ta 0.9957 0.9957 0.9952
4 Ta 0.5043 0.5043 0.5048

Record 16
Here is a relaxed Ta2InSe crystal from Alexandria. Energies are from PBE-GGA.

Properties
- Total DFT energy (no corrections): -29.89 eV for the cell shown
- D(E_F): 0.697 states/eV per atom
- E above lowest polymorph: 0.41 eV/f.u.

Unit cell a=2.9889 b=2.9889 c=10.2501 alpha=90.00 beta=90.00 gamma=106.38
Fractional positions:
1 In 0.0000 0.0000 0.4584
2 Se 0.5000 0.5000 0.8196
3 Ta 0.0000 0.0000 0.0059
4 Ta 0.5000 0.5000 0.2162

Record 17
Here is a relaxed TaInSe2 crystal from Alexandria. Energies are from PBE-GGA.

Properties
- Total DFT energy (no corrections): -20.22 eV for the cell shown
- D(E_F): 0.734 states/eV per atom

Unit cell a=6.7366 b=6.7366 c=6.7366 alpha=147.29 beta=147.29 gamma=46.94
Last column: magnetic moment on the atom in μB.
Fractional positions:
1 In 0.7500 0.2500 0.5000  -0.01
2 Se 0.0000 0.0000 0.0000  -0.02
3 Se 0.2500 0.7500 0.5000  0.00
4 Ta 0.5000 0.5000 0.0000  0.49

Record 18
Here is a relaxed Ta2InSe crystal from Alexandria. Energies are from PBE-GGA.

Properties
- Total DFT energy (no corrections): -27.85 eV for the cell shown
- D(E_F): 1.103 states/eV per atom
- E above lowest polymorph: 2.45 eV/f.u.

Unit cell a=4.5859 b=4.1327 c=4.1327 alpha=90.00 beta=90.00 gamma=90.00
Fractional positions:
1 In 0.5000 0.5000 0.0000
2 Se 0.5000 0.0000 0.5000
3 Ta 0.0000 0.0000 0.0000
4 Ta 0.0000 0.5000 0.5000

Record 19
Here is a relaxed Ta2InSe crystal from Alexandria. Energies are from PBE-GGA.

Properties
- Total DFT energy (no corrections): -29.22 eV for the cell shown
- D(E_F): 0.637 states/eV per atom
- E above lowest polymorph: 1.08 eV/f.u.

Unit cell a=5.6110 b=5.6110 c=5.6110 alpha=148.19 beta=121.90 gamma=67.77
Fractional positions:
1 In 0.7500 0.2500 0.5000
2 Se 0.2500 0.7500 0.5000
3 Ta 0.0262 0.0262 0.0000
4 Ta 0.4738 0.4738 0.0000

Record 20
Here is a relaxed TaInSe2 crystal from Alexandria. Energies are from PBE-GGA.

Properties
- Total DFT energy (no corrections): -24.15 eV for the cell shown
- D(E_F): 0.387 states/eV per atom

Unit cell a=3.4496 b=3.4496 c=10.0647 alpha=80.17 beta=70.05 gamma=59.99
Fractional positions:
1 Ta 0.1490 0.3785 0.1886
2 Se 0.9919 0.0452 0.0116
3 Se 0.6394 0.0452 0.3657
4 In 0.3186 0.0657 0.6889

Record 21
Here is a relaxed TaInSe2 crystal from Alexandria. Energies are from PBE-GGA.

Properties
- Total DFT energy (no corrections): -43.09 eV for the cell shown
- D(E_F): 0.702 states/eV per atom

Unit cell a=5.6072 b=5.6072 c=6.9825 alpha=66.33 beta=66.33 gamma=90.00
Fractional positions:
1 In 0.5000 0.5000 0.0000
2 In 0.2500 0.7500 0.5000
3 Se 0.7693 0.7693 0.4613
4 Se 0.9807 0.4807 0.0387
5 Se 0.2307 0.2307 0.5387
6 Se 0.5193 0.0193 0.9613
7 Ta 0.0000 0.0000 0.0000
8 Ta 0.7500 0.2500 0.5000

Record 22
Here is a relaxed Ta2InSe crystal from Alexandria. Energies are from PBE-GGA.

Properties
- Total DFT energy (no corrections): -27.79 eV for the cell shown
- D(E_F): 1.701 states/eV per atom
- E above lowest polymorph: 2.51 eV/f.u.

Unit cell a=4.7943 b=4.7943 c=4.7943 alpha=60.00 beta=60.00 gamma=60.00
Fractional positions:
1 In 0.5000 0.5000 0.5000
2 Se 0.7500 0.7500 0.7500
3 Ta 0.0000 0.0000 0.0000
4 Ta 0.2500 0.2500 0.2500

Record 23
Here is a relaxed TaInSe2 crystal from Alexandria. Energies are from PBE-GGA.

Properties
- Total DFT energy (no corrections): -46.13 eV for the cell shown
- D(E_F): 0.301 states/eV per atom

Unit cell a=5.9208 b=7.8226 c=7.8226 alpha=44.55 beta=101.15 gamma=78.85
Fractional positions:
1 In 0.7500 0.3082 0.8082
2 In 0.2500 0.6918 0.1918
3 Se 0.4070 0.0438 0.2200
4 Se 0.0930 0.7200 0.5438
5 Se 0.5930 0.9562 0.7800
6 Se 0.9070 0.2800 0.4562
7 Ta 0.7500 0.7507 0.2507
8 Ta 0.2500 0.2493 0.7493

Record 24
Here is a relaxed TaInSe2 crystal from Alexandria. Energies are from PBE-GGA.

Properties
- Total DFT energy (no corrections): -19.11 eV for the cell shown
- D(E_F): 0.740 states/eV per atom

Unit cell a=4.9070 b=4.9070 c=4.9070 alpha=60.00 beta=60.00 gamma=60.00
Last column: magnetic moment on the atom in μB.
Fractional positions:
1 In 0.5000 0.5000 0.5000  0.11
2 Se 0.0000 0.0000 0.0000  -0.04
3 Se 0.7500 0.7500 0.7500  -0.10
4 Ta 0.2500 0.2500 0.2500  1.15

Record 25
Here is a relaxed TaIn2Se crystal from Alexandria. Energies are from PBE-GGA.

Properties
- Total DFT energy (no corrections): -19.89 eV for the cell shown
- D(E_F): 0.573 states/eV per atom

Unit cell a=5.3996 b=3.3673 c=5.8919 alpha=58.30 beta=90.00 gamma=90.00
Fractional positions:
1 In 0.0000 0.7941 0.9957
2 In 0.0000 0.7059 0.5043
3 Se 0.5000 0.2500 0.2500
4 Ta 0.5000 0.7500 0.7500

Record 26
Here is a relaxed Ta2InSe crystal from Alexandria. Energies are from PBE-GGA.

Properties
- Total DFT energy (no corrections): -29.73 eV for the cell shown
- D(E_F): 0.636 states/eV per atom
- E above lowest polymorph: 0.57 eV/f.u.

Unit cell a=4.8670 b=3.0954 c=5.4824 alpha=73.59 beta=90.00 gamma=90.00
Fractional positions:
1 In 0.0000 0.5630 0.5001
2 Se 0.5000 0.9070 0.8111
3 Ta 0.0000 0.8231 0.9773
4 Ta 0.5000 0.2069 0.2115

Record 27
Here is a relaxed Ta2InSe crystal from Alexandria. Energies are from PBE-GGA.

Properties
- Total DFT energy (no corrections): -56.44 eV for the cell shown
- D(E_F): 1.110 states/eV per atom
- E above lowest polymorph: 2.08 eV/f.u.

Unit cell a=4.0730 b=4.0730 c=10.3813 alpha=78.69 beta=78.69 gamma=90.00
Fractional positions:
1 In 0.0000 0.0000 0.0000
2 In 0.7500 0.2500 0.5000
3 Se 0.5000 0.5000 0.0000
4 Se 0.2500 0.7500 0.5000
5 Ta 0.6295 0.1250 0.2500
6 Ta 0.1205 0.6250 0.2500
7 Ta 0.3750 0.3705 0.7500
8 Ta 0.8750 0.8795 0.7500